(1)
First-principles (GGA-PBE) data for crystalline LaTcBi2 at its relaxed geometry, as listed in Alexandria via LeMat-Bulk.

The structure in POSCAR format:
```
LaTcBi2
1.0
4.391 2.409 1.459
-0.205 3.993 3.351
1.801 -0.580 4.862
Tc Bi La
1 2 1
Direct
0.000 0.000 0.000
0.250 0.250 0.250
0.750 0.750 0.750
0.500 0.500 0.500
```

**Total energy**: -23.0 eV/f.u.
**Energy above the lowest structure with this stoichiometry**: 0.0 meV/atom
**Density of states at the Fermi level**: 1.52 states/eV/cell


(2)
First-principles (GGA-PBE) data for crystalline AcLa2SmH at its relaxed geometry, as listed in Alexandria via LeMat-Bulk.

The structure in POSCAR format:
```
AcLa2SmH
1.0
5.282 0.000 0.000
0.000 5.316 0.000
0.000 0.000 5.316
Ac La Sm H
1 2 1 1
Direct
0.500 0.500 0.500
0.000 0.000 0.500
0.000 0.500 0.000
0.500 0.000 0.000
0.000 0.000 0.000
```

**Total energy**: -22.9 eV/f.u.
**Density of states at the Fermi level**: 4.12 states/eV/cell


(3)
First-principles (GGA-PBE) data for crystalline TiNb2Si2 at its relaxed geometry, as listed in Alexandria via LeMat-Bulk.

The structure in POSCAR format:
```
TiNb2Si2
1.0
-1.055 1.402 6.456
-2.045 -6.286 1.031
3.294 -0.950 0.745
Nb Si Ti
4 4 2
Direct
0.172 0.672 0.500
0.672 0.828 0.500
0.828 0.328 0.500
0.328 0.172 0.500
0.372 0.872 0.000
0.872 0.628 0.000
0.628 0.128 0.000
0.128 0.372 0.000
0.000 0.000 0.000
0.500 0.500 0.000
```

**Total energy**: -42.7 eV/f.u.
**Formation energy without anion corrections**: -0.773 eV/atom
**Density of states at the Fermi level**: 1.83 states/eV/cell


(4)
First-principles (GGA-PBE) data for crystalline Th2FeGe4Ir3 at its relaxed geometry, as listed in Alexandria via LeMat-Bulk.

The structure in POSCAR format:
```
Th2FeGe4Ir3
1.0
4.258 0.000 0.000
0.000 4.258 0.000
0.000 0.000 10.114
Th Fe Ge Ir
2 1 4 3
Direct
0.500 0.000 0.252
0.000 0.500 0.748
0.500 0.500 0.500
0.500 0.500 0.000
0.000 0.000 0.000
0.500 0.000 0.623
0.000 0.500 0.377
0.000 0.000 0.500
0.500 0.000 0.867
0.000 0.500 0.133
```

**Total energy**: -75.5 eV/f.u.
**Density of states at the Fermi level**: 6.69 states/eV/cell


(5)
First-principles (GGA-PBE) data for crystalline As2PtRhSe at its relaxed geometry, as listed in Alexandria via LeMat-Bulk.

The structure in POSCAR format:
```
As2PtRhSe
1.0
4.647 0.000 0.000
0.000 4.647 0.000
0.000 0.000 4.997
As Rh Se Pt
2 1 1 1
Direct
0.000 0.500 0.000
0.500 0.000 0.000
0.000 0.000 0.000
0.000 0.000 0.500
0.500 0.500 0.500
```

**Total energy**: -22.8 eV/f.u.
**Formation energy without anion corrections**: 0.678 eV/atom
**Energy above the lowest structure with this stoichiometry**: 0.0 meV/atom
**Density of states at the Fermi level**: 3.77 states/eV/cell


(6)
First-principles (GGA-PBE) data for crystalline Pm7Er3Mg at its relaxed geometry, as listed in Alexandria via LeMat-Bulk.

The structure in POSCAR format:
```
Pm7Er3Mg
1.0
-1.402 5.775 -2.772
-7.863 -1.891 3.147
0.527 3.413 5.589
Pm Er Mg
7 3 1
Direct
0.212 0.216 0.280
0.304 0.855 0.534
0.739 0.404 0.019
0.261 0.596 0.981
0.000 0.500 0.500
0.696 0.145 0.466
0.788 0.784 0.720
0.919 0.843 0.195
0.500 0.000 0.000
0.081 0.157 0.805
0.500 0.500 0.500
```

**Total energy**: -47.4 eV/f.u.
**Energy above the lowest structure with this stoichiometry**: 0.0 meV/atom
**Density of states at the Fermi level**: 16.42 states/eV/cell


(7)
First-principles (GGA-PBE) data for crystalline Mg2TlBr at its relaxed geometry, as listed in Alexandria via LeMat-Bulk.

The structure in POSCAR format:
```
Mg2TlBr
1.0
-1.031 6.437 5.629
-4.334 4.580 5.868
-1.320 3.353 7.824
Br Mg Tl
1 2 1
Direct
0.750 0.750 0.750
0.000 0.000 0.000
0.500 0.500 0.500
0.250 0.250 0.250
```

**Total energy**: -8.7 eV/f.u.
**Formation energy without anion corrections**: -0.365 eV/atom
**Energy above the lowest structure with this stoichiometry**: 0.0 meV/atom
**Density of states at the Fermi level**: 1.41 states/eV/cell


(8)
First-principles (GGA-PBE) data for crystalline PrGa2Ni at its relaxed geometry, as listed in Alexandria via LeMat-Bulk.

The structure in POSCAR format:
```
PrGa2Ni
1.0
-1.280 -0.623 4.133
3.913 -5.470 0.387
7.984 5.949 3.369
Pr Ga Ni
4 8 4
Direct
0.750 0.693 0.368
0.750 0.193 0.132
0.250 0.307 0.632
0.250 0.807 0.868
0.750 0.701 0.068
0.250 0.299 0.932
0.750 0.201 0.432
0.250 0.799 0.568
0.750 0.132 0.821
0.250 0.368 0.321
0.750 0.632 0.679
0.250 0.868 0.179
0.250 0.020 0.389
0.750 0.980 0.611
0.250 0.520 0.111
0.750 0.480 0.889
```

**Total energy**: -19.0 eV/f.u.
**Density of states at the Fermi level**: 12.48 states/eV/cell


(9)
First-principles (GGA-PBE) data for crystalline SrCuB2 at its relaxed geometry, as listed in Alexandria via LeMat-Bulk.

The structure in POSCAR format:
```
SrCuB2
1.0
-3.039 -1.218 2.872
-2.222 3.011 2.229
-4.213 0.682 -0.866
Sr B Cu
1 2 1
Direct
0.500 0.500 0.500
0.250 0.250 0.250
0.750 0.750 0.750
0.000 0.000 0.000
```

**Total energy**: -14.5 eV/f.u.
**Energy above the lowest structure with this stoichiometry**: 743.8 meV/atom
**Density of states at the Fermi level**: 2.01 states/eV/cell


(10)
First-principles (GGA-PBE) data for crystalline KCdAgBr4 at its relaxed geometry, as listed in Alexandria via LeMat-Bulk.

The structure in POSCAR format:
```
KCdAgBr4
1.0
7.082 0.000 0.415
0.000 7.902 0.000
-2.282 0.000 8.519
K Cd Ag Br
2 2 2 8
Direct
0.786 0.750 0.935
0.214 0.250 0.065
0.217 0.750 0.337
0.783 0.250 0.663
0.715 0.750 0.346
0.285 0.250 0.654
0.040 0.497 0.732
0.960 0.997 0.268
0.960 0.503 0.268
0.040 0.003 0.732
0.395 0.750 0.095
0.605 0.250 0.905
0.510 0.750 0.571
0.490 0.250 0.429
```

**Total energy**: -18.1 eV/f.u.
**Formation energy without anion corrections**: -0.931 eV/atom
**Density of states at the Fermi level**: 0.00 states/eV/cell


(11)
First-principles (GGA-PBE) data for crystalline RbAl3S at its relaxed geometry, as listed in Alexandria via LeMat-Bulk.

The structure in POSCAR format:
```
RbAl3S
1.0
-0.813 2.208 -4.694
-4.958 1.066 1.360
1.525 4.644 1.919
S Al Rb
1 3 1
Direct
0.000 0.000 0.000
0.000 0.500 0.000
0.000 0.000 0.500
0.500 0.000 0.000
0.500 0.500 0.500
```

**Total energy**: -14.0 eV/f.u.
**Formation energy without anion corrections**: 0.471 eV/atom
**Energy above the lowest structure with this stoichiometry**: 0.0 meV/atom
**Density of states at the Fermi level**: 3.30 states/eV/cell


(12)
First-principles (GGA-PBE) data for crystalline Rb3TiV at its relaxed geometry, as listed in Alexandria via LeMat-Bulk.

The structure in POSCAR format:
```
Rb3TiV
1.0
-3.073 5.881 1.620
-5.959 -2.506 -2.206
-1.305 -2.406 6.259
V Rb Ti
1 3 1
Direct
0.000 0.000 0.000
0.000 0.500 0.000
0.000 0.000 0.500
0.500 0.000 0.000
0.500 0.500 0.500
```

**Total energy**: -12.0 eV/f.u.
**Energy above the lowest structure with this stoichiometry**: 0.0 meV/atom
**Density of states at the Fermi level**: 9.25 states/eV/cell


no.,theoretical density (g/cm³)
1,10.83
2,7.30
3,6.13
4,12.56
5,8.11
6,7.01
7,5.32
8,7.27
9,4.91
10,3.97
11,2.28
12,1.85